{
  "formula": "Li3Co2RuO6",
  "functional": "PBE with a Hubbard U",
  "state": "optimized geometry",
  "magnetic_moment_mub_per_fu": 8.95,
  "e_above_lowest_polymorph_mev_per_atom": 0,
  "lattice_angstrom": [[-3.3417, -3.8619, 0.5019], [0.0293, -2.8647, 4.3033], [-7.5818, 5.8198, 2.8878]],
  "species": ["O", "O", "Ru", "Co", "Li", "O", "Co", "O", "O", "Li", "O", "Li", "Ru", "O", "O", "O", "Li", "Li", "Li", "Co", "O", "O", "Co", "O"],
  "fractional_positions": [[0.9518, 0.6961, 0.1359], [0.5569, 0.7733, 0.3682], [0.4312, 0.9181, 0.7501], [0.0739, 0.5903, 0.7503], [0.0022, 0.9995, 0.9969], [0.2686, 0.0604, 0.1374], [0.2594, 0.7430, 0.2497], [0.6969, 0.9593, 0.8760], [0.4602, 0.1951, 0.6291], [0.3310, 0.3339, 0.0031], [0.0647, 0.2729, 0.8625], [0.6665, 0.6669, 0.0000], [0.9022, 0.4152, 0.2499], [0.7765, 0.5600, 0.6318], [0.3816, 0.6372, 0.8641], [0.8732, 0.1382, 0.3709], [0.1668, 0.1666, 0.5000], [0.4962, 0.5012, 0.5040], [0.8371, 0.8320, 0.4960], [0.5877, 0.0899, 0.2498], [0.1356, 0.8790, 0.6360], [0.1978, 0.4542, 0.3640], [0.7457, 0.2434, 0.7502], [0.6364, 0.3741, 0.1240]]
}